This record from Alexandria describes a relaxed structure of Cr2InPt. The functional is PBE.

Structure (CIF):
```
data_Cr2InPt
_chemical_formula_sum 'Cr8 In4 Pt4'
_symmetry_space_group_name_H-M 'I -4 2 d'
_symmetry_Int_Tables_number 122
_symmetry_space_group_name_Hall 'I -4 2bw'
_cell_length_a 7.146
_cell_length_b 7.146
_cell_length_c 5.239
_cell_angle_alpha 90.00
_cell_angle_beta 90.00
_cell_angle_gamma 90.00
loop_
_atom_site_label
_atom_site_fract_x
_atom_site_fract_y
_atom_site_fract_z
Cr1 0.221 0.250 0.125
In1 0.000 0.000 0.500
Pt1 0.000 0.000 0.000
```

## Properties
Formation energy from the elements in meV per atom: 717
DFT total energy in eV per atom: -6.289